Record 1
Material: Ta2As
Method: DFT, PBEsol
State: relaxed

Lattice parameters (Å, degrees): 7.6424 7.6424 7.6424 90.00 90.00 90.00
Space group Fd-3m (No. 227, origin choice 2)
Asymmetric unit:
Ta  0.0000  0.0000  0.0000 (multiplicity 16)
As  0.1250  0.1250  0.6250 (multiplicity 8)

Values from the calculation:
Calculated density   13.00 g/cm³
Calculated total energy   -9.515 eV/atom
N(E_F)   1.06 states/eV/atom

***

Record 2
Material: TaCu3Si
Method: DFT, PBEsol
State: relaxed

Lattice parameters (Å, degrees): 4.1948 4.1948 4.1948 90.00 90.00 90.00
Space group Pm-3m (No. 221)
Asymmetric unit:
Ta  0.0000  0.0000  0.0000 (multiplicity 1)
Cu  0.0000  0.5000  0.5000 (multiplicity 3)
Si  0.5000  0.5000  0.5000 (multiplicity 1)

Values from the calculation:
Energy relative to the elements, uncorrected   749 meV/atom
Calculated density   8.99 g/cm³
Calculated total energy   -5.511 eV/atom
N(E_F)   0.50 states/eV/atom

***

Record 3
Material: LaInPb2
Method: DFT, PBEsol
State: relaxed

Lattice parameters (Å, degrees): 7.7682 7.7682 7.7682 90.00 90.00 90.00
Space group F-43m (No. 216)
Asymmetric unit:
La  0.0000  0.0000  0.0000 (multiplicity 4)
In  0.2500  0.2500  0.2500 (multiplicity 4)
Pb  0.0000  0.0000  0.5000 (multiplicity 4)
Pb  0.2500  0.2500  0.7500 (multiplicity 4)

Values from the calculation:
Calculated density   9.47 g/cm³
Calculated total energy   -4.340 eV/atom
N(E_F)   0.67 states/eV/atom